# LiHoFeTe3 GGA-PBE relaxed
data_LiHoFeTe3
_chemical_formula_sum 'Li4 Ho4 Fe4 Te12'
_space_group_name_H-M_alt 'C m c m'
_space_group_IT_number 63
_space_group_name_Hall '-C 2c 2'
_cell_length_a 4.1366
_cell_length_b 14.2158
_cell_length_c 11.2540
_cell_angle_alpha 90.00
_cell_angle_beta 90.00
_cell_angle_gamma 90.00
loop_
_atom_site_label
_atom_site_fract_x
_atom_site_fract_y
_atom_site_fract_z
Li1 0.0000 0.2060 0.2500
Ho1 0.0000 0.0000 0.0000
Fe1 0.0000 0.4731 0.7500
Te1 0.0000 0.0913 0.7500
Te2 0.0000 0.3533 0.5726
# - E_tot: -4.774 eV per atom
# - M_tot: 15.15 μB per cell
# - E above lowest polymorph: 42 meV/atom

***

# ErZr2 GGA-PBE relaxed
data_ErZr2
_chemical_formula_sum 'Er4 Zr8'
_space_group_name_H-M_alt 'P m m n'
_space_group_IT_number 59
_cell_length_a 3.3267
_cell_length_b 5.2666
_cell_length_c 17.3042
_cell_angle_alpha 90.00
_cell_angle_beta 90.00
_cell_angle_gamma 90.00
loop_
_space_group_symop_operation_xyz
'x,y,z'
'-x,-y,-z'
'-x+1/2,-y+1/2,z'
'x+1/2,y+1/2,-z'
'x+1/2,-y,-z'
'-x+1/2,y,z'
'-x,y+1/2,-z'
'x,-y+1/2,z'
loop_
_atom_site_label
_atom_site_fract_x
_atom_site_fract_y
_atom_site_fract_z
Er1 0.2500 0.2500 0.1384
Er2 0.2500 0.7500 0.3611
Zr1 0.2500 0.2500 0.4700
Zr2 0.2500 0.2500 0.8054
Zr3 0.2500 0.7500 0.0298
Zr4 0.2500 0.7500 0.6946
# - E_tot: -7.170 eV per atom
# - M_tot: 0.00 μB per cell
# - Formation enthalpy at 0 K: 0.05 eV per atom